Computed, not measured: HfCoB3 after structural relaxation at the PBE-GGA level of DFT.

The density of states at the Fermi level is 0.116 states/eV per atom. The total magnetization is 0.00 Bohr magnetons per cell. As for the crystal system: orthorhombic. Its energy relative to the elements is -692 meV per atom.

a b c (Å): 3.3210 17.8429 3.1079
angles (deg): 90.00 90.00 90.00
With the nearest neighbours (Å) after each atom.
Space group Cmcm (No. 63)
Unique sites:
1 Hf 0.0000 0.0776 0.2500 (multiplicity 4)  12 B 2.46-2.49
2 Co 0.0000 0.2058 0.7500 (multiplicity 4)  3 B 2.00-2.13
3 B 0.0000 0.3181 0.7500 (multiplicity 4)  2 B 1.80, 1 Co 2.00
4 B 0.0000 0.3687 0.2500 (multiplicity 4)  3 B 1.80-1.89
5 B 0.0000 0.4745 0.2500 (multiplicity 4)  3 B 1.80-1.89